A.
The following is a DFT calculation (PBE-GGA) of an optimized crystal structure of CuRhPb.

POSCAR file:
```
CuRhPb
1.0
-3.539 -1.684 1.967
0.238 -1.341 4.168
-2.042 2.264 3.152
Cu Pb Rh
1 1 1
Cartesian
0.000 0.000 0.000
-2.671 -0.381 4.643
-4.007 -0.571 6.965
```

**DOS(E_F)**: 1.7 states/eV/f.u.
**Symmetry**: F-43m, No. 216
**Magnetization**: 0.00 μB per formula unit

B.
The following is a DFT calculation (PBE-GGA) of an optimized crystal structure of CuRhPb.

POSCAR file:
```
CuRhPb
1.0
4.363 0.000 0.000
-2.181 3.778 0.000
0.000 0.000 3.155
Cu Pb Rh
1 1 1
Cartesian
0.000 0.000 3.120
2.181 1.259 1.000
0.000 2.519 2.191
```

**DOS(E_F)**: 1.7 states/eV/f.u.
**Symmetry**: P3m1, No. 156
**Magnetization**: 0.00 μB per formula unit

C.
The following is a DFT calculation (PBE-GGA) of an optimized crystal structure of CuRhPb.

POSCAR file:
```
CuRhPb
1.0
4.966 -0.052 0.060
3.800 3.199 0.035
1.166 0.445 3.221
Cu Pb Rh
1 1 1
Cartesian
1.237 0.470 3.192
3.697 1.345 2.180
6.165 2.222 1.165
```

**DOS(E_F)**: 2.7 states/eV/f.u.
**Symmetry**: I4mm, No. 107
**Magnetization**: 0.00 μB per formula unit

Quick ranking, most stable first: C, A, B.

A.
The following is a DFT calculation (PBE-GGA) of an optimized crystal structure of CuRh2Pb2.

POSCAR file:
```
CuRh2Pb2
1.0
4.445 0.000 0.000
0.000 4.445 0.000
2.223 2.223 5.657
Pb Rh Cu
2 2 1
Cartesian
4.445 2.223 2.829
2.223 4.445 2.829
2.223 2.223 1.236
4.445 4.445 4.421
0.000 0.000 0.000
```

**DOS(E_F)**: 2.8 states/eV/f.u.
**Symmetry**: I4/mmm, No. 139
**Magnetization**: 0.00 μB per formula unit

B.
The following is a DFT calculation (PBE-GGA) of an optimized crystal structure of CuRh2Pb2.

POSCAR file:
```
CuRh2Pb2
1.0
6.895 0.000 0.000
0.000 6.895 0.000
0.000 0.000 3.997
Pb Rh Cu
4 4 2
Cartesian
1.135 4.583 1.999
4.583 5.759 1.999
5.759 2.312 1.999
2.312 1.135 1.999
2.447 5.894 0.000
5.894 4.448 0.000
4.448 1.000 0.000
1.000 2.447 0.000
0.000 0.000 0.000
3.447 3.447 0.000
```

**DOS(E_F)**: 3.8 states/eV/f.u.
**Symmetry**: P4/mbm, No. 127
**Magnetization**: 0.00 μB per formula unit

Quick ranking, most stable first: B, A.

A.
The following is a DFT calculation (PBE-GGA) of an optimized crystal structure of CuPb3S.

POSCAR file:
```
CuPb3S
1.0
5.213 0.000 0.000
0.000 5.213 0.000
0.000 0.000 5.213
Pb S Cu
3 1 1
Cartesian
0.000 2.606 0.000
0.000 0.000 2.606
2.606 0.000 0.000
2.606 2.606 2.606
0.000 0.000 0.000
```

**DOS(E_F)**: 2.1 states/eV/f.u.
**Symmetry**: Pm-3m, No. 221
**Magnetization**: 0.00 μB per formula unit

B.
The following is a DFT calculation (PBE-GGA) of an optimized crystal structure of CuPb3S.

POSCAR file:
```
CuPb3S
1.0
5.513 0.000 0.000
0.000 5.513 0.000
0.000 0.000 5.513
Pb S Cu
3 1 1
Cartesian
0.000 2.756 0.000
0.000 0.000 2.756
2.756 0.000 0.000
0.000 0.000 0.000
2.756 2.756 2.756
```

**DOS(E_F)**: 2.9 states/eV/f.u.
**Symmetry**: Pm-3m, No. 221
**Magnetization**: 0.00 μB per formula unit

Quick ranking, most stable first: A, B.

A.
The following is a DFT calculation (PBE-GGA) of an optimized crystal structure of CuPb2S2.

POSCAR file:
```
CuPb2S2
1.0
7.833 0.000 0.000
0.000 7.833 0.000
0.000 0.000 3.979
Pb S Cu
4 4 2
Cartesian
2.675 6.591 0.000
6.591 5.159 0.000
5.159 1.242 0.000
1.242 2.675 0.000
1.288 5.205 1.989
5.205 6.545 1.989
6.545 2.628 1.989
2.628 1.288 1.989
0.000 0.000 0.000
3.917 3.917 0.000
```

**DOS(E_F)**: 3.6 states/eV/f.u.
**Symmetry**: P4/mbm, No. 127
**Magnetization**: 0.00 μB per formula unit

B.
The following is a DFT calculation (PBE-GGA) of an optimized crystal structure of CuPb2S2.

POSCAR file:
```
CuPb2S2
1.0
-1.088 0.077 -4.995
-2.680 -4.323 0.517
-6.557 0.901 -1.174
Pb S Cu
2 2 1
Cartesian
-3.261 -1.232 -1.925
-7.064 -2.113 -3.726
-4.764 -0.573 -4.204
-5.560 -2.773 -1.448
0.000 0.000 0.000
```

**DOS(E_F)**: 3.4 states/eV/f.u.
**Symmetry**: I4/mmm, No. 139
**Magnetization**: 0.00 μB per formula unit

Quick ranking, most stable first: A, B.

A.
The following is a DFT calculation (PBE-GGA) of an optimized crystal structure of CuSbPbS3.

POSCAR file:
```
CuSbPbS3
1.0
-2.330 4.818 5.734
3.038 -5.248 5.645
7.992 4.265 -0.336
Cu Sb Pb S
4 4 4 12
Cartesian
3.680 1.508 2.808
7.857 3.724 8.007
2.470 4.010 5.785
8.977 1.408 5.251
-0.458 2.297 3.248
7.308 -2.480 5.054
5.647 2.671 5.415
2.871 -1.964 2.817
5.728 -0.286 7.933
0.297 -0.337 0.404
1.998 0.329 5.900
6.864 0.562 2.318
8.734 -0.652 4.098
3.000 -0.046 1.258
4.989 0.456 4.485
7.412 1.764 6.895
8.721 3.022 3.530
3.635 5.792 4.804
3.893 2.723 7.183
4.864 3.251 1.780
7.487 5.573 6.565
3.155 -2.811 6.473
1.911 2.494 4.046
2.053 -0.534 9.183
```

**Symmetry**: Pmn2_1, No. 31
**Magnetization**: 0.00 μB per formula unit

B.
The following is a DFT calculation (PBE-GGA) of an optimized crystal structure of CuSbPbS3.

POSCAR file:
```
CuSbPbS3
1.0
-3.431 0.359 -1.841
-2.059 -8.061 2.266
-3.262 4.174 6.895
Cu Sb Pb S
2 2 2 6
Cartesian
-2.912 1.947 3.732
-5.840 -5.475 3.589
-2.707 -4.589 2.075
-6.045 1.061 5.245
-2.011 -0.235 1.626
-6.742 -3.293 5.695
-4.824 -6.137 1.565
-3.929 2.609 5.755
-4.143 -4.212 4.824
-4.610 0.684 2.496
-3.883 -2.420 0.537
-4.869 -1.108 6.783
```

**Symmetry**: P2_1/m, No. 11
**Magnetization**: 0.00 μB per formula unit

Quick ranking, most stable first: A, B.

A.
The following is a DFT calculation (PBE-GGA) of an optimized crystal structure of CuSb2TePb.

POSCAR file:
```
CuSb2TePb
1.0
-1.445 -4.390 -3.387
-3.043 -2.474 4.506
-4.714 2.815 -1.638
Pb Sb Te Cu
1 2 1 1
Cartesian
-1.522 -1.237 2.253
-2.357 1.407 -0.819
-0.722 -2.195 -1.693
0.000 0.000 0.000
-4.601 -2.025 -0.259
```

**DOS(E_F)**: 5.3 states/eV/f.u.
**Symmetry**: P4/mmm, No. 123
**Magnetization**: 0.00 μB per formula unit

B.
The following is a DFT calculation (PBE-GGA) of an optimized crystal structure of CuSb2TePb.

POSCAR file:
```
CuSb2TePb
1.0
5.879 0.000 0.000
0.000 5.879 0.000
0.000 0.000 5.882
Pb Sb Te Cu
1 2 1 1
Cartesian
0.000 0.000 0.000
0.000 2.939 0.000
2.939 0.000 0.000
0.000 0.000 2.941
2.939 2.939 2.941
```

**DOS(E_F)**: 6.3 states/eV/f.u.
**Symmetry**: P4/mmm, No. 123
**Magnetization**: 0.66 μB per formula unit

Quick ranking, most stable first: A, B.

A.
The following is a DFT calculation (PBE-GGA) of an optimized crystal structure of ScZnCu2Pb.

POSCAR file:
```
ScZnCu2Pb
1.0
4.519 0.000 0.000
0.000 5.203 0.000
0.000 0.000 4.519
Pb Sc Zn Cu
1 1 1 2
Cartesian
0.000 2.602 0.000
2.259 2.602 2.259
0.000 0.000 0.000
0.000 0.000 2.259
2.259 0.000 0.000
```

**DOS(E_F)**: 3.0 states/eV/f.u.
**Symmetry**: P4/mmm, No. 123
**Magnetization**: 0.00 μB per formula unit

B.
The following is a DFT calculation (PBE-GGA) of an optimized crystal structure of ScZnCu2Pb.

POSCAR file:
```
ScZnCu2Pb
1.0
-0.089 -1.924 -4.531
-1.607 -4.272 1.846
-4.900 1.593 -0.580
Pb Sc Zn Cu
1 1 1 2
Cartesian
0.000 0.000 0.000
-3.298 -2.302 -1.632
-2.450 0.796 -0.290
-0.803 -2.136 0.923
-0.045 -0.962 -2.266
```

**DOS(E_F)**: 4.9 states/eV/f.u.
**Symmetry**: P4/mmm, No. 123
**Magnetization**: 0.66 μB per formula unit

Quick ranking, most stable first: A, B.

A.
The following is a DFT calculation (PBE-GGA) of an optimized crystal structure of Cu3PbSe.

POSCAR file:
```
Cu3PbSe
1.0
-4.122 -1.085 -1.953
1.649 -4.244 -1.121
-1.508 -1.673 4.112
Pb Cu Se
1 3 1
Cartesian
-1.991 -3.501 0.519
0.824 -2.122 -0.561
-0.754 -0.836 2.056
-2.061 -0.543 -0.977
0.000 0.000 0.000
```

**DOS(E_F)**: 2.3 states/eV/f.u.
**Symmetry**: Pm-3m, No. 221
**Magnetization**: 0.00 μB per formula unit

B.
The following is a DFT calculation (PBE-GGA) of an optimized crystal structure of Cu3PbSe.

POSCAR file:
```
Cu3PbSe
1.0
4.949 0.000 0.000
0.000 4.949 0.000
0.000 0.000 4.949
Pb Cu Se
1 3 1
Cartesian
0.000 0.000 0.000
0.000 2.474 0.000
0.000 0.000 2.474
2.474 0.000 0.000
2.474 2.474 2.474
```

**DOS(E_F)**: 5.7 states/eV/f.u.
**Symmetry**: Pm-3m, No. 221
**Magnetization**: 0.00 μB per formula unit

Quick ranking, most stable first: A, B.